# TiIn3Si | Alexandria | PBE-GGA | optimized geometry
data_TiIn3Si
_chemical_formula_sum 'Ti1 In3 Si1'
_symmetry_space_group_name_H-M 'P m -3 m'
_symmetry_Int_Tables_number 221
_symmetry_space_group_name_Hall '-P 4 2 3'
_cell_length_a 5.128
_cell_length_b 5.128
_cell_length_c 5.128
_cell_angle_alpha 90.00
_cell_angle_beta 90.00
_cell_angle_gamma 90.00
loop_
_atom_site_label
_atom_site_type_symbol
_atom_site_fract_x
_atom_site_fract_y
_atom_site_fract_z
Ti1 Ti 0.000 0.000 0.000
In1 In 0.000 0.500 0.500
Si1 Si 0.500 0.500 0.500
# * polymorph energy (0 for the lowest one): 0.0023 eV per atom
# * total energy: -17.220 eV for the cell shown
# * energy relative to the elements, uncorrected: 0.8626 eV/atom